NbFeNiRh | PBE-GGA | optimized geometry

Its crystal system is cubic. The value obtained for the calculated density is 9.4 g cm⁻³. The energy relative to the elements comes out at -0.408 eV per formula unit. For the total energy, the calculation gives -8.02 eV per atom.

The space group is F-43m (No. 216) and the conventional cell measures 6.028, 6.028 and 6.028 Å, with angles of 90.00, 90.00 and 90.00 degrees. The distinct sites, in fractional coordinates, are Nb at (0.000, 0.000, 0.000), Fe at (0.250, 0.250, 0.750), Ni at (0.250, 0.250, 0.250) and Rh at (0.000, 0.000, 0.500).